No. 1
BaTcAs2 PBE relaxed; V = 24.97 Å³/atom; formation energy from the elements = -0.1412 eV per atom; density of states at the Fermi level = 0.65 states/eV/atom
1.0
-4.224 0.160 -0.231
-0.200 -3.452 1.270
-0.245 2.218 6.003
As Tc Ba
2 1 1
Cartesian
-0.284 -1.375 4.228
-0.384 -0.476 6.682
-2.446 -0.846 5.339
-2.223 -0.229 1.703

No. 2
BaTcAs2 PBE relaxed; V = 22.61 Å³/atom; formation energy from the elements = 0.6104 eV per atom; density of states at the Fermi level = 0.95 states/eV/atom
1.0
5.038 0.000 0.000
2.519 4.363 0.000
2.519 1.454 4.114
As Tc Ba
2 1 1
Cartesian
2.519 1.454 1.028
0.000 0.000 0.000
7.558 4.363 3.085
5.038 2.909 2.057

Number 1: mass density 6.4 Mg/m³. Number 2: mass density 7.1 Mg/m³.